First-principles (GGA-PBE) data for crystalline LaDy8Ho4 at its relaxed geometry, as listed in Alexandria.

Calculated values
D(E_F): 15.9 states/eV per cell
E_tot: -57.654 eV per cell
calculated density: 8.394 Mg/m³
formation energy: 0.185 eV/atom
total magnetic moment: 0.0 μB/f.u.

abc: 9.952 9.952 9.952
angles: 42.98 42.98 42.98
Fractional coordinates of all 13 atoms:
La  0.000  0.000  0.000
Dy  0.250  0.250  0.696
Dy  0.250  0.696  0.250
Dy  0.281  0.281  0.281
Dy  0.304  0.750  0.750
Dy  0.696  0.250  0.250
Dy  0.719  0.719  0.719
Dy  0.750  0.304  0.750
Dy  0.750  0.750  0.304
Ho  0.000  0.000  0.500
Ho  0.000  0.500  0.000
Ho  0.500  0.000  0.000
Ho  0.500  0.500  0.500